Material: RbGaCuPd2
Method: DFT, GGA-PBE
State: optimized geometry

Cell: 5.196 5.951 5.196 Å, 90.00 90.00 90.00°
Fractional coordinates of all 5 atoms:
1 Pd 0.500 0.000 0.000
2 Cu 0.500 0.500 0.500
3 Ga 0.000 0.500 0.000
4 Pd 0.000 0.000 0.500
5 Rb 0.000 0.000 0.000

Results
DFT formation energy   1.575 eV/atom
Total magnetization   0.00 μB/f.u.
Theoretical density   4.46 g cm⁻³
SG   P4/mmm
DOS(E_F)   2.0 states/eV per cell